No. 1
First-principles (PBE-GGA) data for LaTl2OsO6 after structural relaxation, as listed in Alexandria.

Cell: 6.4262 6.4262 6.0986 Å, 90.00 90.00 120.00°
Space group P-3m1 (No. 164)
Asymmetric unit:
1 La 0.0000 0.0000 0.0000 x1
2 Tl 0.3333 0.6667 0.4650 x2
3 Os 0.0000 0.0000 0.5000 x1
4 O 0.1375 0.2749 0.6905 x6

- total magnetic moment (μB per cell) = 1.0
- VASP energy (Ry/atom) = -0.4772
- uncorrected formation energy (meV/atom) = -1428.6

---

No. 2
First-principles (PBE-GGA) data for Cs2CuMoSe4 after structural relaxation, as listed in Alexandria.

Cell: 5.790 14.935 25.746 Å, 90.00 90.00 90.00°
Space group Fddd (No. 70, origin choice 2)
Asymmetric unit:
1 Cs 0.125 0.125 0.304 x16
2 Cu 0.125 0.125 0.125 x8
3 Mo 0.125 0.125 0.625 x8
4 Se 0.118 0.282 0.822 x32

- total magnetic moment (μB per cell) = 8.1
- VASP energy (Ry/atom) = -0.3369
- uncorrected formation energy (meV/atom) = -762.2